# Tb5Tl2C

Tb5Tl2C after structural relaxation (PBE, Alexandria).

Calculated values
Volume: 510 Å³/cell

Cell lengths 4.9817, 8.6185, 12.4005 Å; angles 90.00, 90.00, 106.80 degrees
With the nearest neighbours (Å) after each atom.
Sites, in units of the cell vectors:
1 Tb 0.9095 0.8190 0.8897  1 C 2.37
2 Tb 0.9095 0.8190 0.6103  1 C 2.37
3 Tb 0.2932 0.5865 0.4113  1 C 2.64
4 Tb 0.2932 0.5865 0.0887  1 C 2.64
5 Tb 0.7068 0.4135 0.2500  2 C 2.51
6 Tb 0.2932 0.5865 0.7500  2 C 2.51
7 Tb 0.7068 0.4135 0.5887  1 C 2.64
8 Tb 0.7068 0.4135 0.9113  1 C 2.64
9 Tb 0.0905 0.1810 0.1103  1 C 2.37
10 Tb 0.0905 0.1810 0.3897  1 C 2.37
11 Tl 0.9005 0.8011 0.3656  1 Tl 2.87, 4 Tb 3.04-3.15
12 Tl 0.9005 0.8011 0.1344  1 Tl 2.87, 4 Tb 3.04-3.15
13 Tl 0.0995 0.1989 0.6344  1 Tl 2.87, 4 Tb 3.04-3.15
14 Tl 0.0995 0.1989 0.8656  1 Tl 2.87, 4 Tb 3.04-3.15
15 C 0.8116 0.6231 0.7500  6 Tb 2.37-2.64
16 C 0.1884 0.3769 0.2500  6 Tb 2.37-2.64

---

# Tb4TlC2

Tb4TlC2 after structural relaxation (PBE, Alexandria).

Calculated values
Volume: 165 Å³/cell

Cell lengths 3.6210, 3.6210, 14.6706 Å; angles 82.91, 82.91, 60.00 degrees
With the nearest neighbours (Å) after each atom.
Sites, in units of the cell vectors:
1 Tb 0.1238 0.1238 0.6287  3 C 2.45
2 Tb 0.2719 0.2719 0.1842  3 C 2.53
3 Tb 0.7281 0.7281 0.8158  3 C 2.53
4 Tb 0.8762 0.8762 0.3713  3 C 2.45
5 Tl 0.0000 0.0000 0.0000  6 Tb 3.40, 6 Tl 3.62
6 C 0.4276 0.4276 0.7171  6 Tb 2.45-2.53
7 C 0.5724 0.5724 0.2829  6 Tb 2.45-2.53

---

# Tb2TlC2

Tb2TlC2 after structural relaxation (PBE, Alexandria).

Calculated values
Volume: 203 Å³/cell

Cell lengths 3.8036, 6.7924, 8.3877 Å; angles 105.74, 103.10, 90.00 degrees
With the nearest neighbours (Å) after each atom.
Sites, in units of the cell vectors:
1 Tb 0.5014 0.3655 0.6859  3 C 2.33-2.52
2 Tb 0.1845 0.8655 0.6859  3 C 2.33-2.52
3 Tb 0.4986 0.6345 0.3141  3 C 2.33-2.52
4 Tb 0.8155 0.1345 0.3141  3 C 2.33-2.52
5 Tl 0.9002 0.7500 0.0000  6 Tb 3.24-3.58, 2 Tl 3.48
6 Tl 0.0998 0.2500 0.0000  6 Tb 3.24-3.58, 2 Tl 3.48
7 C 0.3536 0.0317 0.4552  1 C 1.34
8 C 0.8984 0.4683 0.5448  1 C 1.34
9 C 0.6464 0.9683 0.5448  1 C 1.34
10 C 0.1016 0.5317 0.4552  1 C 1.34

---

# Tb8Tl2C3

Tb8Tl2C3 after structural relaxation (PBE, Alexandria).

Calculated values
Volume: 340 Å³/cell

Cell lengths 6.3977, 7.2603, 8.4298 Å; angles 115.51, 104.15, 90.00 degrees
With the nearest neighbours (Å) after each atom.
Sites, in units of the cell vectors:
1 Tb 0.9525 0.6057 0.2114  2 C 2.47
2 Tb 0.0475 0.3943 0.7886  2 C 2.47
3 Tb 0.8940 0.0974 0.1947  3 C 2.55-2.57
4 Tb 0.1060 0.9026 0.8053  3 C 2.55-2.57
5 Tb 0.6150 0.6704 0.8243  2 C 2.44-2.47
6 Tb 0.6150 0.1539 0.8243  2 C 2.44-2.47
7 Tb 0.3850 0.8461 0.1757  2 C 2.44-2.47
8 Tb 0.3850 0.3296 0.1757  2 C 2.44-2.47
9 Tl 0.3461 0.2560 0.5120  6 Tb 3.15-3.23
10 Tl 0.6539 0.7440 0.4880  6 Tb 3.15-3.23
11 C 0.5000 0.0000 0.0000  6 Tb 2.44-2.55
12 C 0.0000 0.2548 0.0000  6 Tb 2.47-2.57
13 C 0.0000 0.7452 0.0000  6 Tb 2.47-2.57

---

# Tb3TlC

Tb3TlC after structural relaxation (PBE, Alexandria).

Calculated values
Offset from the most stable computed form: 0.000 eV per atom
Volume: 122 Å³/cell

Cell lengths 4.9531, 4.9531, 4.9531 Å; angles 90.00, 90.00, 90.00 degrees
With the nearest neighbours (Å) after each atom.
Sites, in units of the cell vectors:
1 Tl 0.5000 0.5000 0.5000  12 Tb 3.50
2 Tb 0.0000 0.5000 0.0000  2 C 2.48
3 Tb 0.0000 0.0000 0.5000  2 C 2.48
4 Tb 0.5000 0.0000 0.0000  2 C 2.48
5 C 0.0000 0.0000 0.0000  6 Tb 2.48

---

# Tb4Tl2C

Tb4Tl2C after structural relaxation (PBE, Alexandria).

Calculated values
Volume: 187 Å³/cell

Cell lengths 3.6430, 9.1555, 6.3997 Å; angles 118.73, 90.00, 90.00 degrees
With the nearest neighbours (Å) after each atom.
Sites, in units of the cell vectors:
1 Tb 0.5000 0.0506 0.8091  2 C 2.42
2 Tb 0.0000 0.3846 0.2463  1 C 2.53
3 Tb 0.5000 0.0922 0.3339  2 C 2.42
4 Tb 0.0000 0.7582 0.8966  1 C 2.53
5 Tl 0.5000 0.4167 0.8136  6 Tb 3.08-3.44, 1 Tl 3.15
6 Tl 0.5000 0.7261 0.3293  6 Tb 3.08-3.44, 1 Tl 3.15
7 C 0.0000 0.0714 0.0715  6 Tb 2.42-2.53

---

# TbTm2TlC

TbTm2TlC after structural relaxation (PBE, Alexandria).

Calculated values
Volume: 116 Å³/cell

Cell lengths 4.9467, 4.8421, 4.8421 Å; angles 90.00, 90.00, 90.00 degrees
With the nearest neighbours (Å) after each atom.
Sites, in units of the cell vectors:
1 Tb 0.5000 0.0000 0.0000  2 C 2.47
2 Tm 0.0000 0.0000 0.5000  2 C 2.42
3 Tm 0.0000 0.5000 0.0000  2 C 2.42
4 Tl 0.5000 0.5000 0.5000  4 Tb 3.42, 8 Tm 3.46
5 C 0.0000 0.0000 0.0000  4 Tm 2.42, 2 Tb 2.47

---

# Tb2YTlC

Tb2YTlC after structural relaxation (PBE, Alexandria).

Calculated values
Volume: 121 Å³/cell

Cell lengths 4.9280, 4.9566, 4.9566 Å; angles 90.00, 90.00, 90.00 degrees
With the nearest neighbours (Å) after each atom.
Sites, in units of the cell vectors:
1 Tb 0.0000 0.0000 0.5000  2 C 2.48
2 Tb 0.0000 0.5000 0.0000  2 C 2.48
3 Y 0.5000 0.0000 0.0000  2 C 2.46
4 Tl 0.5000 0.5000 0.5000  8 Tb 3.49, 4 Y 3.50
5 C 0.0000 0.0000 0.0000  2 Y 2.46, 4 Tb 2.48

---

# Tb3TmC2

Tb3TmC2 after structural relaxation (PBE, Alexandria).

Calculated values
Volume: 277 Å³/cell

Cell lengths 6.2784, 7.1363, 7.1363 Å; angles 120.00, 90.00, 90.00 degrees
With the nearest neighbours (Å) after each atom.
Sites, in units of the cell vectors:
1 Tb 0.7815 0.1664 0.8336  3 C 2.47-2.48
2 Tb 0.7815 0.6672 0.8336  3 C 2.47-2.48
3 Tb 0.7815 0.1664 0.3328  3 C 2.47-2.48
4 Tb 0.2185 0.8336 0.6672  3 C 2.47-2.48
5 Tb 0.2185 0.8336 0.1664  3 C 2.47-2.48
6 Tb 0.2185 0.3328 0.1664  3 C 2.47-2.48
7 Tm 0.2066 0.3333 0.6667  3 C 2.43
8 Tm 0.7934 0.6667 0.3333  3 C 2.43
9 C 0.0000 0.0000 0.0000  6 Tb 2.47
10 C 0.0000 0.5000 0.0000  2 Tm 2.43, 4 Tb 2.48
11 C 0.0000 0.0000 0.5000  2 Tm 2.43, 4 Tb 2.48
12 C 0.0000 0.5000 0.5000  2 Tm 2.43, 4 Tb 2.48

---

# TbTm3C8

TbTm3C8 after structural relaxation (PBE, Alexandria).

Calculated values
Volume: 175 Å³/cell

Cell lengths 6.0543, 6.2670, 6.0554 Å; angles 64.92, 82.95, 115.07 degrees
With the nearest neighbours (Å) after each atom.
Sites, in units of the cell vectors:
1 Tb 0.9957 0.0000 0.0043  8 C 2.54-2.63
2 Tm 0.7146 0.5000 0.7854  8 C 2.42-2.63
3 Tm 0.2146 0.5000 0.2854  8 C 2.42-2.63
4 Tm 0.5057 0.0000 0.4943  8 C 2.43-2.64
5 C 0.1014 0.0000 0.5692  1 C 1.30
6 C 0.5831 0.6685 0.4169  1 C 1.31
7 C 0.9147 0.3315 0.0853  1 C 1.31
8 C 0.4308 0.0000 0.8987  1 C 1.30
9 C 0.8857 0.0000 0.6081  1 C 1.30
10 C 0.6347 0.5075 0.3653  1 C 1.31
11 C 0.1273 0.4925 0.8728  1 C 1.31
12 C 0.3919 0.0000 0.1143  1 C 1.30

---

# Tb3TmC8

Tb3TmC8 after structural relaxation (PBE, Alexandria).

Calculated values
Volume: 181 Å³/cell

Cell lengths 6.5872, 5.9838, 6.2736 Å; angles 67.52, 75.06, 114.54 degrees
With the nearest neighbours (Å) after each atom.
Sites, in units of the cell vectors:
1 Tb 0.7995 0.4582 0.7095  6 C 2.46-2.69
2 Tb 0.3414 0.5418 0.1676  6 C 2.46-2.69
3 Tb 0.4653 0.0000 0.4840  7 C 2.44-2.63
4 Tm 0.0125 0.0000 0.0150  8 C 2.36-2.56
5 C 0.0518 0.0000 0.5978  1 C 1.30
6 C 0.5894 0.6794 0.4252  1 C 1.28
7 C 0.9100 0.3206 0.1046  1 C 1.28
8 C 0.3835 0.0000 0.8971  1 C 1.33
9 C 0.8572 0.0000 0.7130  1 C 1.30
10 C 0.6139 0.4925 0.3893  1 C 1.28
11 C 0.1213 0.5075 0.8818  1 C 1.28
12 C 0.3544 0.0000 0.1153  1 C 1.33

---

# Tb3TmC

Tb3TmC after structural relaxation (PBE, Alexandria).

Calculated values
Volume: 130 Å³/cell

Cell lengths 5.0671, 5.0671, 5.0671 Å; angles 90.00, 90.00, 90.00 degrees
With the nearest neighbours (Å) after each atom.
Sites, in units of the cell vectors:
1 C 0.0000 0.0000 0.0000  6 Tb 2.53
2 Tm 0.5000 0.5000 0.5000  12 Tb 3.58
3 Tb 0.0000 0.5000 0.0000  2 C 2.53
4 Tb 0.0000 0.0000 0.5000  2 C 2.53
5 Tb 0.5000 0.0000 0.0000  2 C 2.53

---

# Tb4Tm2C

Tb4Tm2C after structural relaxation (PBE, Alexandria).

Calculated values
Volume: 208 Å³/cell

Cell lengths 4.8779, 4.8779, 9.3882 Å; angles 74.94, 74.94, 90.00 degrees
With the nearest neighbours (Å) after each atom.
Sites, in units of the cell vectors:
1 C 0.0000 0.0000 0.0000  6 Tb 2.39-2.44
2 Tm 0.6687 0.6687 0.6626  5 Tb 3.40-3.49
3 Tm 0.3313 0.3313 0.3374  5 Tb 3.40-3.49
4 Tb 0.8634 0.8634 0.2733  1 C 2.39
5 Tb 0.1366 0.1366 0.7267  1 C 2.39
6 Tb 0.0000 0.5000 0.0000  2 C 2.44
7 Tb 0.5000 0.0000 0.0000  2 C 2.44

---

# TbTm2UC4

TbTm2UC4 after structural relaxation (PBE, Alexandria).

Calculated values
Volume: 126 Å³/cell

Cell lengths 3.5627, 6.1143, 6.1442 Å; angles 69.89, 90.00, 90.00 degrees
With the nearest neighbours (Å) after each atom.
Sites, in units of the cell vectors:
1 Tb 0.0000 0.5000 0.5000  6 C 2.52-2.54
2 Tm 0.0000 0.0000 0.0000  6 C 2.49-2.50
3 Tm 0.5000 0.0000 0.5000  6 C 2.62-2.66
4 U 0.5000 0.5000 0.0000  6 C 2.37-2.38
5 C 0.0000 0.7276 0.7759  2 U 2.38, 3 Tm 2.50-2.62, 1 Tb 2.54
6 C 0.0000 0.2724 0.2241  2 U 2.38, 3 Tm 2.50-2.62, 1 Tb 2.54
7 C 0.5000 0.7395 0.2321  1 U 2.37, 2 Tm 2.49, 2 Tb 2.52
8 C 0.5000 0.2605 0.7679  1 U 2.37, 2 Tm 2.49, 2 Tb 2.52

---

# TbU5C6

TbU5C6 after structural relaxation (PBE, Alexandria).

Calculated values
Volume: 183 Å³/cell

Cell lengths 6.0921, 6.0644, 6.0590 Å; angles 59.97, 80.42, 70.57 degrees
With the nearest neighbours (Å) after each atom.
Sites, in units of the cell vectors:
1 U 0.5000 0.1622 0.6756  6 C 2.39-2.50
2 U 0.0000 0.3316 0.3368  6 C 2.44-2.48
3 U 0.5000 0.5000 0.0000  6 C 2.38-2.48
4 U 0.0000 0.6684 0.6632  6 C 2.44-2.48
5 U 0.5000 0.8378 0.3244  6 C 2.39-2.50
6 C 0.7372 0.0883 0.3497  5 U 2.39-2.49, 1 Tb 2.60
7 C 0.2628 0.5620 0.3497  5 U 2.39-2.49, 1 Tb 2.60
8 C 0.2500 0.2707 0.0000  5 U 2.38-2.50, 1 Tb 2.58
9 C 0.7500 0.7293 0.0000  5 U 2.38-2.50, 1 Tb 2.58
10 C 0.7372 0.4380 0.6503  5 U 2.39-2.49, 1 Tb 2.60
11 C 0.2628 0.9117 0.6503  5 U 2.39-2.49, 1 Tb 2.60
12 Tb 0.0000 0.0000 0.0000  6 C 2.58-2.60

---

# Tb5UC4

Tb5UC4 after structural relaxation (PBE, Alexandria).

Calculated values
Volume: 200 Å³/cell

Cell lengths 3.5936, 7.2539, 8.0577 Å; angles 102.29, 102.88, 90.00 degrees
With the nearest neighbours (Å) after each atom.
Sites, in units of the cell vectors:
1 Tb 0.8397 0.6887 0.6795  3 C 2.44-2.46
2 Tb 0.8336 0.1520 0.6673  4 C 2.48-2.71
3 Tb 0.1664 0.8480 0.3327  4 C 2.48-2.71
4 Tb 0.5000 0.5000 0.0000  4 C 2.68
5 Tb 0.1603 0.3113 0.3205  3 C 2.44-2.46
6 U 0.5000 0.0000 0.0000  6 C 2.41-2.43
7 C 0.3431 0.9224 0.6863  1 U 2.41, 4 Tb 2.46-2.48
8 C 0.9990 0.7742 0.9981  2 U 2.43, 4 Tb 2.44-2.68
9 C 0.6569 0.0776 0.3137  1 U 2.41, 4 Tb 2.46-2.48
10 C 0.0010 0.2258 0.0019  2 U 2.43, 4 Tb 2.44-2.68

---

# Tb2UC2

Tb2UC2 after structural relaxation (PBE, Alexandria).

Calculated values
Volume: 176 Å³/cell

Cell lengths 5.3111, 6.4959, 6.4959 Å; angles 63.42, 65.87, 65.87 degrees
With the nearest neighbours (Å) after each atom.
Sites, in units of the cell vectors:
1 Tb 0.3422 0.2863 0.0292  3 C 2.49-2.64
2 Tb 0.6578 0.7137 0.9708  3 C 2.49-2.64
3 Tb 0.1578 0.9708 0.7137  3 C 2.49-2.64
4 Tb 0.8422 0.0292 0.2863  3 C 2.49-2.64
5 U 0.2500 0.5000 0.5000  4 C 2.41, 2 U 2.66
6 U 0.7500 0.5000 0.5000  4 C 2.41, 2 U 2.66
7 C 0.1022 0.6544 0.1411  2 U 2.41, 3 Tb 2.49-2.64
8 C 0.8978 0.3456 0.8589  2 U 2.41, 3 Tb 2.49-2.64
9 C 0.3978 0.8589 0.3456  2 U 2.41, 3 Tb 2.49-2.64
10 C 0.6022 0.1411 0.6544  2 U 2.41, 3 Tb 2.49-2.64

---

# TbU2C3

TbU2C3 after structural relaxation (PBE, Alexandria).

Calculated values
Offset from the most stable computed form: 0.144 eV per atom
Volume: 183 Å³/cell

Cell lengths 3.2844, 6.1216, 9.0871 Å; angles 90.00, 90.00, 90.00 degrees
With the nearest neighbours (Å) after each atom.
Sites, in units of the cell vectors:
1 Tb 0.0000 0.9919 0.9281  4 C 2.52
2 Tb 0.0000 0.4919 0.0719  4 C 2.52
3 U 0.0000 0.9919 0.2848  6 C 2.37-2.48
4 U 0.5000 0.9919 0.6076  6 C 2.40-2.45
5 U 0.0000 0.4919 0.7152  6 C 2.37-2.48
6 U 0.5000 0.4919 0.3924  6 C 2.40-2.45
7 C 0.5000 0.2354 0.1921  3 U 2.37-2.40, 2 Tb 2.52
8 C 0.5000 0.2484 0.8079  3 U 2.37-2.40, 2 Tb 2.52
9 C 0.0000 0.2419 0.5000  6 U 2.45-2.48
10 C 0.5000 0.7354 0.8079  3 U 2.37-2.40, 2 Tb 2.52
11 C 0.5000 0.7484 0.1921  3 U 2.37-2.40, 2 Tb 2.52
12 C 0.0000 0.7419 0.5000  6 U 2.45-2.48

---

# TbU4C5

TbU4C5 after structural relaxation (PBE, Alexandria).

Calculated values
Volume: 153 Å³/cell

Cell lengths 3.4925, 4.9989, 9.2638 Å; angles 105.65, 100.87, 90.00 degrees
With the nearest neighbours (Å) after each atom.
Sites, in units of the cell vectors:
1 Tb 0.0000 0.0000 0.0000  6 C 2.50-2.59
2 U 0.4006 0.4006 0.8012  6 C 2.45-2.51
3 U 0.7992 0.7992 0.5985  6 C 2.37-2.50
4 U 0.2008 0.2008 0.4015  6 C 2.37-2.50
5 U 0.5994 0.5994 0.1988  6 C 2.45-2.51
6 C 0.6094 0.1094 0.2187  4 U 2.37-2.51, 2 Tb 2.59
7 C 0.8027 0.3027 0.6055  6 U 2.45-2.50
8 C 0.1973 0.6973 0.3945  6 U 2.45-2.50
9 C 0.0000 0.5000 0.0000  4 U 2.46, 2 Tb 2.50
10 C 0.3906 0.8906 0.7813  4 U 2.37-2.51, 2 Tb 2.59

---

# Tb3UC4

Tb3UC4 after structural relaxation (PBE, Alexandria).

Calculated values
Volume: 130 Å³/cell

Cell lengths 3.5953, 6.2001, 6.2001 Å; angles 109.93, 90.00, 90.00 degrees
With the nearest neighbours (Å) after each atom.
Sites, in units of the cell vectors:
1 U 0.5000 0.0000 0.0000  6 C 2.36-2.39
2 C 0.0000 0.2221 0.2221  2 U 2.39, 4 Tb 2.55-2.67
3 C 0.5000 0.7679 0.2321  1 U 2.36, 4 Tb 2.54
4 C 0.0000 0.7779 0.7779  2 U 2.39, 4 Tb 2.55-2.67
5 C 0.5000 0.2321 0.7679  1 U 2.36, 4 Tb 2.54
6 Tb 0.0000 0.0000 0.5000  6 C 2.54-2.55
7 Tb 0.5000 0.5000 0.5000  6 C 2.67-2.72
8 Tb 0.0000 0.5000 0.0000  6 C 2.54-2.55

---

Number 1: magnetic moment 0.00 μB/f.u., DFT formation energy 0.5 eV/f.u.. Number 2: magnetic moment 0.00 μB/f.u., DFT formation energy -2.2 eV/f.u.. Number 3: magnetic moment 0.00 μB/f.u., DFT formation energy -1.5 eV/f.u.. Number 4: magnetic moment 0.00 μB/f.u., DFT formation energy -2.6 eV/f.u.. Number 5: magnetic moment 0.00 μB/f.u., DFT formation energy -2.2 eV/f.u.. Number 6: magnetic moment 0.80 μB/f.u., DFT formation energy -1.3 eV/f.u.. Number 7: magnetic moment 0.00 μB/f.u., DFT formation energy -2.4 eV/f.u.. Number 8: magnetic moment 0.00 μB/f.u., DFT formation energy -2.3 eV/f.u.. Number 9: magnetic moment 0.33 μB/f.u., DFT formation energy -1.5 eV/f.u.. Number 10: magnetic moment 0.00 μB/f.u., DFT formation energy 1.5 eV/f.u.. Number 11: magnetic moment 0.00 μB/f.u., DFT formation energy 1.3 eV/f.u.. Number 12: magnetic moment 0.00 μB/f.u., DFT formation energy 0.0 eV/f.u.. Number 13: magnetic moment 0.00 μB/f.u., DFT formation energy 1.2 eV/f.u.. Number 14: magnetic moment 0.00 μB/f.u., DFT formation energy -1.9 eV/f.u.. Number 15: magnetic moment 0.00 μB/f.u., DFT formation energy -1.8 eV/f.u.. Number 16: magnetic moment 0.00 μB/f.u., DFT formation energy -2.3 eV/f.u.. Number 17: magnetic moment 0.80 μB/f.u., DFT formation energy 0.0 eV/f.u.. Number 18: magnetic moment 0.01 μB/f.u., DFT formation energy -0.3 eV/f.u.. Number 19: magnetic moment 0.00 μB/f.u., DFT formation energy -1.6 eV/f.u.. Number 20: magnetic moment 0.00 μB/f.u., DFT formation energy -1.4 eV/f.u..